w.
# SiPPdO

A geometry-optimized SiPPdO structure (PBE, OQMD).

```
data_SiPPdO
_space_group_name_H-M_alt 'P m c 21'
_space_group_IT_number 26
_cell_length_a 2.8450
_cell_length_b 6.9312
_cell_length_c 5.9371
_cell_angle_alpha 90.00
_cell_angle_beta 90.00
_cell_angle_gamma 90.00
loop_
_space_group_symop_operation_xyz
'x,y,z'
'-x,-y,z+1/2'
'-x,y,z'
'x,-y,z+1/2'
loop_
_atom_site_label
_atom_site_fract_x
_atom_site_fract_y
_atom_site_fract_z
Si1 0.0000 0.1108 0.0000
P1 0.0000 0.1953 0.6331
Pd1 0.5000 0.4465 0.5621
O1 0.5000 0.2084 0.1088
```

***

x.
# SiPPdO

A geometry-optimized SiPPdO structure (PBE, OQMD).

```
data_SiPPdO
_space_group_name_H-M_alt 'P 4/n m m'
_space_group_IT_number 129
_cell_length_a 4.0795
_cell_length_b 4.0795
_cell_length_c 7.5370
_cell_angle_alpha 90.00
_cell_angle_beta 90.00
_cell_angle_gamma 90.00
loop_
_space_group_symop_operation_xyz
'x,y,z'
'-x,-y,-z'
'-y+1/2,x,z'
'y+1/2,-x,-z'
'-x+1/2,-y+1/2,z'
'x+1/2,y+1/2,-z'
'y,-x+1/2,z'
'-y,x+1/2,-z'
'x+1/2,-y,-z'
'-x+1/2,y,z'
'-y,-x,-z'
'y,x,z'
'-x,y+1/2,-z'
'x,-y+1/2,z'
'y+1/2,x+1/2,-z'
'-y+1/2,-x+1/2,z'
loop_
_atom_site_label
_atom_site_fract_x
_atom_site_fract_y
_atom_site_fract_z
Si1 0.2500 0.7500 0.0000
P1 0.2500 0.2500 0.1581
Pd1 0.2500 0.2500 0.5641
O1 0.2500 0.7500 0.5000
```

***

Winner for stability: w

***

w.
# SrPPdO

A geometry-optimized SrPPdO structure (PBE, OQMD).

```
data_SrPPdO
_space_group_name_H-M_alt 'P m c 21'
_space_group_IT_number 26
_cell_length_a 3.4035
_cell_length_b 7.6235
_cell_length_c 5.6126
_cell_angle_alpha 90.00
_cell_angle_beta 90.00
_cell_angle_gamma 90.00
loop_
_space_group_symop_operation_xyz
'x,y,z'
'-x,-y,z+1/2'
'-x,y,z'
'x,-y,z+1/2'
loop_
_atom_site_label
_atom_site_fract_x
_atom_site_fract_y
_atom_site_fract_z
Sr1 0.0000 0.1478 0.0000
P1 0.0000 0.4406 0.4735
Pd1 0.5000 0.2436 0.4991
O1 0.5000 0.0117 0.7404
```

***

x.
# SrPPdO

A geometry-optimized SrPPdO structure (PBE, OQMD).

```
data_SrPPdO
_space_group_name_H-M_alt 'P 4/n m m'
_space_group_IT_number 129
_cell_length_a 4.2898
_cell_length_b 4.2898
_cell_length_c 8.4740
_cell_angle_alpha 90.00
_cell_angle_beta 90.00
_cell_angle_gamma 90.00
loop_
_space_group_symop_operation_xyz
'x,y,z'
'-x,-y,-z'
'-y+1/2,x,z'
'y+1/2,-x,-z'
'-x+1/2,-y+1/2,z'
'x+1/2,y+1/2,-z'
'y,-x+1/2,z'
'-y,x+1/2,-z'
'x+1/2,-y,-z'
'-x+1/2,y,z'
'-y,-x,-z'
'y,x,z'
'-x,y+1/2,-z'
'x,-y+1/2,z'
'y+1/2,x+1/2,-z'
'-y+1/2,-x+1/2,z'
loop_
_atom_site_label
_atom_site_fract_x
_atom_site_fract_y
_atom_site_fract_z
Sr1 0.2500 0.2500 0.1242
P1 0.2500 0.2500 0.6287
Pd1 0.2500 0.7500 0.5000
O1 0.2500 0.7500 0.0000
```

***

Winner for stability: x

***

w.
# TlPPdO

A geometry-optimized TlPPdO structure (PBE, OQMD).

```
data_TlPPdO
_space_group_name_H-M_alt 'P m c 21'
_space_group_IT_number 26
_cell_length_a 3.4621
_cell_length_b 6.8476
_cell_length_c 6.6530
_cell_angle_alpha 90.00
_cell_angle_beta 90.00
_cell_angle_gamma 90.00
loop_
_space_group_symop_operation_xyz
'x,y,z'
'-x,-y,z+1/2'
'-x,y,z'
'x,-y,z+1/2'
loop_
_atom_site_label
_atom_site_fract_x
_atom_site_fract_y
_atom_site_fract_z
Tl1 0.0000 0.1708 0.0000
P1 0.0000 0.2052 0.4035
Pd1 0.5000 0.3569 0.5535
O1 0.5000 0.3557 0.8809
```

***

x.
# TlPPdO

A geometry-optimized TlPPdO structure (PBE, OQMD).

```
data_TlPPdO
_space_group_name_H-M_alt 'P 4/n m m'
_space_group_IT_number 129
_cell_length_a 4.1229
_cell_length_b 4.1229
_cell_length_c 8.6681
_cell_angle_alpha 90.00
_cell_angle_beta 90.00
_cell_angle_gamma 90.00
loop_
_space_group_symop_operation_xyz
'x,y,z'
'-x,-y,-z'
'-y+1/2,x,z'
'y+1/2,-x,-z'
'-x+1/2,-y+1/2,z'
'x+1/2,y+1/2,-z'
'y,-x+1/2,z'
'-y,x+1/2,-z'
'x+1/2,-y,-z'
'-x+1/2,y,z'
'-y,-x,-z'
'y,x,z'
'-x,y+1/2,-z'
'x,-y+1/2,z'
'y+1/2,x+1/2,-z'
'-y+1/2,-x+1/2,z'
loop_
_atom_site_label
_atom_site_fract_x
_atom_site_fract_y
_atom_site_fract_z
Tl1 0.2500 0.2500 0.1220
P1 0.2500 0.2500 0.6420
Pd1 0.2500 0.7500 0.5000
O1 0.2500 0.7500 0.0000
```

***

Winner for stability: x

***

w.
# YPPdO, relaxed, DFT PBE
# M_tot	0.0	μB/cell
data_YPPdO
_space_group_name_H-M_alt 'P 4/m m m'
_space_group_IT_number 123
_space_group_name_Hall '-P 4 2'
_cell_length_a 3.9460
_cell_length_b 3.9460
_cell_length_c 4.5342
_cell_angle_alpha 90.00
_cell_angle_beta 90.00
_cell_angle_gamma 90.00
loop_
_atom_site_label
_atom_site_fract_x
_atom_site_fract_y
_atom_site_fract_z
Y1 0.0000 0.0000 0.0000
P1 0.5000 0.5000 0.0000
Pd1 0.5000 0.5000 0.5000
O1 0.0000 0.0000 0.5000

***

x.
# YPPdO, relaxed, DFT PBE
# M_tot	0.0	μB/cell
data_YPPdO
_space_group_name_H-M_alt 'P m c 21'
_space_group_IT_number 26
_cell_length_a 3.5444
_cell_length_b 7.6051
_cell_length_c 5.5322
_cell_angle_alpha 90.00
_cell_angle_beta 90.00
_cell_angle_gamma 90.00
loop_
_space_group_symop_operation_xyz
'x,y,z'
'-x,-y,z+1/2'
'-x,y,z'
'x,-y,z+1/2'
loop_
_atom_site_label
_atom_site_fract_x
_atom_site_fract_y
_atom_site_fract_z
Y1 0.0000 0.2246 0.0000
P1 0.0000 0.4086 0.4990
Pd1 0.5000 0.2175 0.4984
O1 0.5000 0.0782 0.9848

***

y.
# YPPdO, relaxed, DFT PBE
# M_tot	0.0	μB/cell
data_YPPdO
_space_group_name_H-M_alt 'P 4/n m m'
_space_group_IT_number 129
_cell_length_a 4.0570
_cell_length_b 4.0570
_cell_length_c 7.8072
_cell_angle_alpha 90.00
_cell_angle_beta 90.00
_cell_angle_gamma 90.00
loop_
_space_group_symop_operation_xyz
'x,y,z'
'-x,-y,-z'
'-y+1/2,x,z'
'y+1/2,-x,-z'
'-x+1/2,-y+1/2,z'
'x+1/2,y+1/2,-z'
'y,-x+1/2,z'
'-y,x+1/2,-z'
'x+1/2,-y,-z'
'-x+1/2,y,z'
'-y,-x,-z'
'y,x,z'
'-x,y+1/2,-z'
'x,-y+1/2,z'
'y+1/2,x+1/2,-z'
'-y+1/2,-x+1/2,z'
loop_
_atom_site_label
_atom_site_fract_x
_atom_site_fract_y
_atom_site_fract_z
Y1 0.2500 0.2500 0.1338
P1 0.2500 0.2500 0.6642
Pd1 0.2500 0.7500 0.5000
O1 0.2500 0.7500 0.0000

***

Winner for stability: y

***

w.
# RbPmPO, relaxed, DFT PBE
# M_tot	2.0	μB/cell
data_RbPmPO
_space_group_name_H-M_alt 'P m c 21'
_space_group_IT_number 26
_cell_length_a 4.9327
_cell_length_b 8.0365
_cell_length_c 6.7601
_cell_angle_alpha 90.00
_cell_angle_beta 90.00
_cell_angle_gamma 90.00
loop_
_space_group_symop_operation_xyz
'x,y,z'
'-x,-y,z+1/2'
'-x,y,z'
'x,-y,z+1/2'
loop_
_atom_site_label
_atom_site_fract_x
_atom_site_fract_y
_atom_site_fract_z
Rb1 0.0000 0.2139 0.0000
Pm1 0.5000 0.3652 0.5714
P1 0.0000 0.2036 0.4895
O1 0.5000 0.4116 0.8906

***

x.
# RbPmPO, relaxed, DFT PBE
# M_tot	0.1	μB/cell
data_RbPmPO
_space_group_name_H-M_alt 'P 4/n m m'
_space_group_IT_number 129
_cell_length_a 4.1940
_cell_length_b 4.1940
_cell_length_c 10.7918
_cell_angle_alpha 90.00
_cell_angle_beta 90.00
_cell_angle_gamma 90.00
loop_
_space_group_symop_operation_xyz
'x,y,z'
'-x,-y,-z'
'-y+1/2,x,z'
'y+1/2,-x,-z'
'-x+1/2,-y+1/2,z'
'x+1/2,y+1/2,-z'
'y,-x+1/2,z'
'-y,x+1/2,-z'
'x+1/2,-y,-z'
'-x+1/2,y,z'
'-y,-x,-z'
'y,x,z'
'-x,y+1/2,-z'
'x,-y+1/2,z'
'y+1/2,x+1/2,-z'
'-y+1/2,-x+1/2,z'
loop_
_atom_site_label
_atom_site_fract_x
_atom_site_fract_y
_atom_site_fract_z
Rb1 0.2500 0.7500 0.0000
Pm1 0.2500 0.2500 0.4020
P1 0.2500 0.2500 0.7684
O1 0.2500 0.7500 0.5000

***

Winner for stability: w

***

w.
# PmRePO, relaxed, DFT PBE
# M_tot	0.0	μB/cell
data_PmRePO
_space_group_name_H-M_alt 'P 4/n m m'
_space_group_IT_number 129
_cell_length_a 3.9568
_cell_length_b 3.9568
_cell_length_c 8.5804
_cell_angle_alpha 90.00
_cell_angle_beta 90.00
_cell_angle_gamma 90.00
loop_
_space_group_symop_operation_xyz
'x,y,z'
'-x,-y,-z'
'-y+1/2,x,z'
'y+1/2,-x,-z'
'-x+1/2,-y+1/2,z'
'x+1/2,y+1/2,-z'
'y,-x+1/2,z'
'-y,x+1/2,-z'
'x+1/2,-y,-z'
'-x+1/2,y,z'
'-y,-x,-z'
'y,x,z'
'-x,y+1/2,-z'
'x,-y+1/2,z'
'y+1/2,x+1/2,-z'
'-y+1/2,-x+1/2,z'
loop_
_atom_site_label
_atom_site_fract_x
_atom_site_fract_y
_atom_site_fract_z
Pm1 0.2500 0.2500 0.1386
Re1 0.2500 0.7500 0.5000
P1 0.2500 0.2500 0.6617
O1 0.2500 0.7500 0.0000

***

x.
# PmRePO, relaxed, DFT PBE
# M_tot	0.0	μB/cell
data_PmRePO
_space_group_name_H-M_alt 'P 4/n m m'
_space_group_IT_number 129
_cell_length_a 4.2705
_cell_length_b 4.2705
_cell_length_c 6.9124
_cell_angle_alpha 90.00
_cell_angle_beta 90.00
_cell_angle_gamma 90.00
loop_
_space_group_symop_operation_xyz
'x,y,z'
'-x,-y,-z'
'-y+1/2,x,z'
'y+1/2,-x,-z'
'-x+1/2,-y+1/2,z'
'x+1/2,y+1/2,-z'
'y,-x+1/2,z'
'-y,x+1/2,-z'
'x+1/2,-y,-z'
'-x+1/2,y,z'
'-y,-x,-z'
'y,x,z'
'-x,y+1/2,-z'
'x,-y+1/2,z'
'y+1/2,x+1/2,-z'
'-y+1/2,-x+1/2,z'
loop_
_atom_site_label
_atom_site_fract_x
_atom_site_fract_y
_atom_site_fract_z
Pm1 0.2500 0.7500 0.0000
Re1 0.2500 0.2500 0.3853
P1 0.2500 0.2500 0.7224
O1 0.2500 0.7500 0.5000

***

y.
# PmRePO, relaxed, DFT PBE
# M_tot	0.0	μB/cell
data_PmRePO
_space_group_name_H-M_alt 'P m c 21'
_space_group_IT_number 26
_cell_length_a 4.3391
_cell_length_b 4.3512
_cell_length_c 6.7051
_cell_angle_alpha 90.00
_cell_angle_beta 90.00
_cell_angle_gamma 90.00
loop_
_space_group_symop_operation_xyz
'x,y,z'
'-x,-y,z+1/2'
'-x,y,z'
'x,-y,z+1/2'
loop_
_atom_site_label
_atom_site_fract_x
_atom_site_fract_y
_atom_site_fract_z
Pm1 0.0000 0.1998 0.0000
Re1 0.5000 0.3154 0.3497
P1 0.5000 0.1871 0.6924
O1 0.0000 0.3096 0.3437

***

Winner for stability: w

***

w.
# PmTcPO, relaxed, DFT PBE
# M_tot	0.5	μB/cell
data_PmTcPO
_space_group_name_H-M_alt 'P 4/n m m'
_space_group_IT_number 129
_cell_length_a 4.2176
_cell_length_b 4.2176
_cell_length_c 8.9610
_cell_angle_alpha 90.00
_cell_angle_beta 90.00
_cell_angle_gamma 90.00
loop_
_space_group_symop_operation_xyz
'x,y,z'
'-x,-y,-z'
'-y+1/2,x,z'
'y+1/2,-x,-z'
'-x+1/2,-y+1/2,z'
'x+1/2,y+1/2,-z'
'y,-x+1/2,z'
'-y,x+1/2,-z'
'x+1/2,-y,-z'
'-x+1/2,y,z'
'-y,-x,-z'
'y,x,z'
'-x,y+1/2,-z'
'x,-y+1/2,z'
'y+1/2,x+1/2,-z'
'-y+1/2,-x+1/2,z'
loop_
_atom_site_label
_atom_site_fract_x
_atom_site_fract_y
_atom_site_fract_z
Pm1 0.2500 0.7500 0.0000
Tc1 0.2500 0.2500 0.4638
P1 0.2500 0.2500 0.2179
O1 0.2500 0.7500 0.5000

***

x.
# PmTcPO, relaxed, DFT PBE
# M_tot	0.0	μB/cell
data_PmTcPO
_space_group_name_H-M_alt 'P m c 21'
_space_group_IT_number 26
_cell_length_a 4.4319
_cell_length_b 4.2402
_cell_length_c 6.7851
_cell_angle_alpha 90.00
_cell_angle_beta 90.00
_cell_angle_gamma 90.00
loop_
_space_group_symop_operation_xyz
'x,y,z'
'-x,-y,z+1/2'
'-x,y,z'
'x,-y,z+1/2'
loop_
_atom_site_label
_atom_site_fract_x
_atom_site_fract_y
_atom_site_fract_z
Pm1 0.0000 0.2109 0.0000
Tc1 0.5000 0.2995 0.3469
P1 0.5000 0.2020 0.6860
O1 0.0000 0.2942 0.3409

***

y.
# PmTcPO, relaxed, DFT PBE
# M_tot	0.0	μB/cell
data_PmTcPO
_space_group_name_H-M_alt 'P 4/n m m'
_space_group_IT_number 129
_cell_length_a 4.0053
_cell_length_b 4.0053
_cell_length_c 8.3628
_cell_angle_alpha 90.00
_cell_angle_beta 90.00
_cell_angle_gamma 90.00
loop_
_space_group_symop_operation_xyz
'x,y,z'
'-x,-y,-z'
'-y+1/2,x,z'
'y+1/2,-x,-z'
'-x+1/2,-y+1/2,z'
'x+1/2,y+1/2,-z'
'y,-x+1/2,z'
'-y,x+1/2,-z'
'x+1/2,-y,-z'
'-x+1/2,y,z'
'-y,-x,-z'
'y,x,z'
'-x,y+1/2,-z'
'x,-y+1/2,z'
'y+1/2,x+1/2,-z'
'-y+1/2,-x+1/2,z'
loop_
_atom_site_label
_atom_site_fract_x
_atom_site_fract_y
_atom_site_fract_z
Pm1 0.2500 0.2500 0.1391
Tc1 0.2500 0.7500 0.5000
P1 0.2500 0.2500 0.6533
O1 0.2500 0.7500 0.0000

***

Winner for stability: y

***

w.
# PmTmPO, relaxed, DFT PBE
# M_tot	0.1	μB/cell
data_PmTmPO
_space_group_name_H-M_alt 'P m c 21'
_space_group_IT_number 26
_cell_length_a 4.1601
_cell_length_b 7.6207
_cell_length_c 5.4336
_cell_angle_alpha 90.00
_cell_angle_beta 90.00
_cell_angle_gamma 90.00
loop_
_space_group_symop_operation_xyz
'x,y,z'
'-x,-y,z+1/2'
'-x,y,z'
'x,-y,z+1/2'
loop_
_atom_site_label
_atom_site_fract_x
_atom_site_fract_y
_atom_site_fract_z
Pm1 0.0000 0.1345 0.0000
Tm1 0.5000 0.2917 0.4863
P1 0.5000 0.3577 0.9856
O1 0.0000 0.1777 0.4717

***

x.
# PmTmPO, relaxed, DFT PBE
# M_tot	0.0	μB/cell
data_PmTmPO
_space_group_name_H-M_alt 'P 4/n m m'
_space_group_IT_number 129
_cell_length_a 4.3309
_cell_length_b 4.3309
_cell_length_c 8.7414
_cell_angle_alpha 90.00
_cell_angle_beta 90.00
_cell_angle_gamma 90.00
loop_
_space_group_symop_operation_xyz
'x,y,z'
'-x,-y,-z'
'-y+1/2,x,z'
'y+1/2,-x,-z'
'-x+1/2,-y+1/2,z'
'x+1/2,y+1/2,-z'
'y,-x+1/2,z'
'-y,x+1/2,-z'
'x+1/2,-y,-z'
'-x+1/2,y,z'
'-y,-x,-z'
'y,x,z'
'-x,y+1/2,-z'
'x,-y+1/2,z'
'y+1/2,x+1/2,-z'
'-y+1/2,-x+1/2,z'
loop_
_atom_site_label
_atom_site_fract_x
_atom_site_fract_y
_atom_site_fract_z
Pm1 0.2500 0.2500 0.1125
Tm1 0.2500 0.7500 0.5000
P1 0.2500 0.2500 0.6856
O1 0.2500 0.7500 0.0000

***

Winner for stability: w